A geometry-optimized MgV3C structure. Source: Alexandria via LeMat-Bulk, functional PBE.

Calculated values
energy of formation from the pure elements: 14.90 eV per formula unit
energy: -23.28 eV for the cell shown
distance to the lowest polymorph of the same formula: 3009 meV per atom
V: 86.1 Å³/cell

Cell lengths 4.4161, 4.4161, 4.4161 Å; angles 90.00, 90.00, 90.00 degrees
With the nearest neighbours (Å) after each atom.
Sites, in units of the cell vectors:
Mg  0.0000  0.0000  0.0000  6 V 2.21
V  0.0000  0.0000  0.5000  2 Mg 2.21
V  0.0000  0.5000  0.0000  2 Mg 2.21
V  0.5000  0.0000  0.0000  2 Mg 2.21
C  0.5000  0.5000  0.5000  12 V 3.12


A geometry-optimized Mg6VC structure. Source: Alexandria via LeMat-Bulk, functional PBE.

Calculated values
energy of formation from the pure elements: 4.97 eV per formula unit
energy: -22.94 eV for the cell shown
distance to the lowest polymorph of the same formula: 418 meV per atom
V: 154.1 Å³/cell

Cell lengths 4.5075, 6.5915, 6.5915 Å; angles 51.91, 90.00, 90.00 degrees
With the nearest neighbours (Å) after each atom.
Sites, in units of the cell vectors:
Mg  0.0000  0.0000  0.0000  2 V 2.84, 8 Mg 2.89-3.12
Mg  0.0000  0.0298  0.5084  2 C 2.64, 3 Mg 2.76-2.89, 2 V 2.89
Mg  0.0000  0.4933  0.4933  8 Mg 2.89-3.07
Mg  0.0000  0.5084  0.0298  2 C 2.64, 3 Mg 2.76-2.89, 2 V 2.89
Mg  0.5000  0.3606  0.8729  1 C 2.31
Mg  0.5000  0.8729  0.3606  1 C 2.31
V  0.5000  0.8538  0.8538  8 Mg 2.84-3.17, 2 C 3.05
C  0.5000  0.2714  0.2714  2 Mg 2.31


A geometry-optimized Mg2VC structure. Source: Alexandria via LeMat-Bulk, functional PBE.

Calculated values
energy of formation from the pure elements: 1.98 eV per formula unit
energy: -39.10 eV for the cell shown
V: 134.3 Å³/cell

Cell lengths 6.0947, 6.0947, 6.0947 Å; angles 96.40, 96.40, 141.01 degrees
With the nearest neighbours (Å) after each atom.
Sites, in units of the cell vectors:
Mg  0.3750  0.0111  0.1361  2 C 2.29
Mg  0.7611  0.6250  0.6361  2 C 2.29
Mg  0.8750  0.2389  0.8639  2 C 2.29
Mg  0.9889  0.1250  0.3639  2 C 2.29
V  0.2500  0.7500  0.5000  2 C 2.03
V  0.5000  0.5000  0.0000  2 C 2.03
C  0.0000  0.0000  0.0000  2 V 2.03
C  0.7500  0.2500  0.5000  2 V 2.03